Record 1
The following is a PBE-GGA calculation of a geometry-optimized HoTl3Cr2Te6 structure, from Alexandria via LeMat-Bulk.

Unit cell a=7.2837 b=7.2837 c=8.3806 alpha=98.48 beta=98.48 gamma=119.70
Sites, in units of the cell vectors:
1 Ho 0.0000 0.0000 0.0000
2 Tl 0.1544 0.8456 0.5000
3 Tl 0.5000 0.5000 0.5000
4 Tl 0.8456 0.1544 0.5000
5 Cr 0.3321 0.6679 0.0000
6 Cr 0.6679 0.3321 0.0000
7 Te 0.0665 0.4270 0.1980
8 Te 0.2984 0.2984 0.8118
9 Te 0.4270 0.0665 0.1980
10 Te 0.5730 0.9335 0.8020
11 Te 0.7016 0.7016 0.1882
12 Te 0.9335 0.5730 0.8020

Computed properties:
ΔE_f (raw) in meV/atom: -473

=====

Record 2
The following is a PBE-GGA calculation of a geometry-optimized Sm2TmTl3 structure, from Alexandria via LeMat-Bulk.

Unit cell a=8.6000 b=8.6000 c=7.5795 alpha=90.00 beta=90.00 gamma=143.15
Sites, in units of the cell vectors:
1 Sm 0.0000 0.0000 0.0000
2 Sm 0.0000 0.0000 0.5000
3 Sm 0.3358 0.6642 0.0000
4 Sm 0.6642 0.3358 0.0000
5 Tm 0.3330 0.6670 0.5000
6 Tm 0.6670 0.3330 0.5000
7 Tl 0.1693 0.8307 0.2575
8 Tl 0.1693 0.8307 0.7425
9 Tl 0.5000 0.5000 0.2577
10 Tl 0.5000 0.5000 0.7423
11 Tl 0.8307 0.1693 0.2575
12 Tl 0.8307 0.1693 0.7425

Computed properties:
E_form in eV per atom: -0.351

=====

Record 3
The following is a PBE-GGA calculation of a geometry-optimized In3P2Pt9 structure, from Alexandria via LeMat-Bulk.

Unit cell a=5.6009 b=5.6009 c=18.8625 alpha=90.00 beta=90.00 gamma=120.00
Sites, in units of the cell vectors:
1 In 0.0000 0.0000 0.2500
2 In 0.0000 0.0000 0.7500
3 In 0.3333 0.6667 0.0620
4 In 0.3333 0.6667 0.4380
5 In 0.6667 0.3333 0.5620
6 In 0.6667 0.3333 0.9380
7 P 0.3333 0.6667 0.6556
8 P 0.3333 0.6667 0.8444
9 P 0.6667 0.3333 0.1556
10 P 0.6667 0.3333 0.3444
11 Pt 0.0068 0.5034 0.2500
12 Pt 0.1634 0.3267 0.5697
13 Pt 0.1634 0.3267 0.9303
14 Pt 0.1634 0.8366 0.5697
15 Pt 0.1634 0.8366 0.9303
16 Pt 0.3267 0.1634 0.0697
17 Pt 0.3267 0.1634 0.4303
18 Pt 0.4966 0.5034 0.2500
19 Pt 0.4966 0.9932 0.2500
20 Pt 0.5034 0.0068 0.7500
21 Pt 0.5034 0.4966 0.7500
22 Pt 0.6733 0.8366 0.5697
23 Pt 0.6733 0.8366 0.9303
24 Pt 0.8366 0.1634 0.0697
25 Pt 0.8366 0.1634 0.4303
26 Pt 0.8366 0.6733 0.0697
27 Pt 0.8366 0.6733 0.4303
28 Pt 0.9932 0.4966 0.7500

Computed properties:
E_form in eV per atom: -0.354